# 1
A relaxed structure of KMg2In. Source: the Alexandria database, functional PBE-GGA.

Unit cell a=3.187 b=4.621 c=8.248 alpha=90.00 beta=90.09 gamma=90.00
Atoms (fractional coordinates):
1 K 0.000 0.000 0.000
2 Mg 0.495 0.500 0.676
3 Mg 0.992 0.000 0.486
4 In 0.494 0.500 0.302

- Crystal system: monoclinic
- E_form: 0.0281 eV per atom
- E: -6.9 eV for the cell shown
- Symmetry: Pm

=====

# 2
A relaxed structure of Na3Dy2SbTe6. Source: the Alexandria database, functional PBE-GGA.

Unit cell a=7.695 b=7.695 c=7.974 alpha=99.25 beta=99.25 gamma=120.00
Atoms (fractional coordinates):
1 Na 0.000 0.000 0.000
2 Na 0.337 0.663 0.000
3 Na 0.663 0.337 0.000
4 Dy 0.167 0.833 0.500
5 Dy 0.833 0.167 0.500
6 Sb 0.500 0.500 0.500
7 Te 0.091 0.423 0.269
8 Te 0.244 0.244 0.729
9 Te 0.423 0.091 0.269
10 Te 0.577 0.909 0.731
11 Te 0.756 0.756 0.271
12 Te 0.909 0.577 0.731

- Crystal system: monoclinic
- E: -48.4 eV for the cell shown
- Formation energy without anion corrections: -1187 kJ/mol of formula units
- Symmetry: C2/m

=====

For each record above, in turn, the calculated theoretical density values are 2.77, 5.49 Mg/m³.